Tl7Ag36Te22, optimized geometry, DFT GGA-PBEsol; mass density = 8.73 g/cm3; magnetic moment = 0.00 μB per cell; SG = No. 225; uncorrected formation energy = -0.09 eV per atom
1.0
0.000 9.174 9.174
9.174 0.000 9.174
9.174 9.174 0.000
Tl Ag Te
7 36 22
Direct
0.000 0.000 0.000
0.235 0.235 0.765
0.235 0.765 0.235
0.235 0.765 0.765
0.765 0.235 0.235
0.765 0.235 0.765
0.765 0.765 0.235
0.000 0.000 0.388
0.000 0.000 0.612
0.000 0.388 0.000
0.000 0.388 0.612
0.000 0.612 0.000
0.000 0.612 0.388
0.007 0.257 0.257
0.007 0.257 0.479
0.007 0.479 0.257
0.257 0.007 0.257
0.257 0.007 0.479
0.257 0.257 0.007
0.257 0.257 0.479
0.257 0.479 0.007
0.257 0.479 0.257
0.388 0.000 0.000
0.388 0.000 0.612
0.388 0.612 0.000
0.479 0.007 0.257
0.479 0.257 0.007
0.479 0.257 0.257
0.521 0.743 0.743
0.521 0.743 0.993
0.521 0.993 0.743
0.612 0.000 0.000
0.612 0.000 0.388
0.612 0.388 0.000
0.743 0.521 0.743
0.743 0.521 0.993
0.743 0.743 0.521
0.743 0.743 0.993
0.743 0.993 0.521
0.743 0.993 0.743
0.993 0.521 0.743
0.993 0.743 0.521
0.993 0.743 0.743
0.108 0.108 0.108
0.108 0.108 0.677
0.108 0.677 0.108
0.189 0.500 0.500
0.189 0.500 0.811
0.189 0.811 0.500
0.250 0.250 0.250
0.323 0.892 0.892
0.500 0.189 0.500
0.500 0.189 0.811
0.500 0.500 0.189
0.500 0.500 0.811
0.500 0.811 0.189
0.500 0.811 0.500
0.677 0.108 0.108
0.750 0.750 0.750
0.811 0.189 0.500
0.811 0.500 0.189
0.811 0.500 0.500
0.892 0.323 0.892
0.892 0.892 0.323
0.892 0.892 0.892


ZrCr2Pt, optimized geometry, DFT GGA-PBEsol; mass density = 11.03 g/cm3; magnetic moment = 0.00 μB per cell; energy = -9.09 eV per atom; SG = No. 71
1.0
-1.709 2.045 4.206
1.709 -2.045 4.206
1.709 2.045 -4.206
Zr Cr Pt
1 2 1
Direct
0.000 0.000 0.000
0.244 0.744 0.500
0.756 0.256 0.500
0.500 0.500 0.000